1.
Here is Er2Al2SiRu5 after structural relaxation from the Alexandria database. Energies are from PBE.

abc: 9.973 9.973 3.237
angles: 90.00 90.00 90.00
Positions (direct):
Er 0.169 0.331 0.000
Er 0.331 0.831 0.000
Er 0.669 0.169 0.000
Er 0.831 0.669 0.000
Al 0.130 0.630 0.000
Al 0.370 0.130 0.000
Al 0.630 0.870 0.000
Al 0.870 0.370 0.000
Si 0.000 0.000 0.000
Si 0.500 0.500 0.000
Ru 0.000 0.500 0.500
Ru 0.060 0.810 0.500
Ru 0.190 0.060 0.500
Ru 0.310 0.560 0.500
Ru 0.440 0.310 0.500
Ru 0.500 0.000 0.500
Ru 0.560 0.690 0.500
Ru 0.690 0.440 0.500
Ru 0.810 0.940 0.500
Ru 0.940 0.190 0.500

Values from the calculation:
Space group ... P4/mbm
Volume ... 321.9 Å³/cell
Formation energy without anion corrections ... -0.48 eV/atom



2.
Here is Er2AlSi2Ru5 after structural relaxation from the Alexandria database. Energies are from PBE.

abc: 9.910 9.910 3.226
angles: 90.00 90.00 90.00
Positions (direct):
Er 0.173 0.327 0.000
Er 0.327 0.827 0.000
Er 0.673 0.173 0.000
Er 0.827 0.673 0.000
Al 0.000 0.000 0.000
Al 0.500 0.500 0.000
Si 0.128 0.628 0.000
Si 0.372 0.128 0.000
Si 0.628 0.872 0.000
Si 0.872 0.372 0.000
Ru 0.000 0.500 0.500
Ru 0.067 0.794 0.500
Ru 0.206 0.067 0.500
Ru 0.294 0.567 0.500
Ru 0.433 0.294 0.500
Ru 0.500 0.000 0.500
Ru 0.567 0.706 0.500
Ru 0.706 0.433 0.500
Ru 0.794 0.933 0.500
Ru 0.933 0.206 0.500

Values from the calculation:
Space group ... P4/mbm
Volume ... 316.8 Å³/cell
Formation energy without anion corrections ... -0.69 eV/atom



3.
Here is ErAl2SiRu2 after structural relaxation from the Alexandria database. Energies are from PBE.

abc: 4.413 4.413 5.599
angles: 90.00 90.00 90.00
Positions (direct):
Er 0.000 0.000 0.000
Al 0.500 0.500 0.236
Al 0.500 0.500 0.764
Si 0.000 0.000 0.500
Ru 0.000 0.500 0.500
Ru 0.500 0.000 0.500

Values from the calculation:
Space group ... P4/mmm
Volume ... 109.0 Å³/cell
Formation energy without anion corrections ... -0.42 eV/atom



4.
Here is SmErAlRu after structural relaxation from the Alexandria database. Energies are from PBE.

abc: 4.987 4.987 4.987
angles: 60.00 60.00 60.00
Positions (direct):
Sm 0.000 0.000 0.000
Er 0.500 0.500 0.500
Al 0.750 0.750 0.750
Ru 0.250 0.250 0.250

Values from the calculation:
Space group ... F-43m
Volume ... 87.7 Å³/cell
E_form ... -310 meV/atom



5.
Here is Er2Al2SnRu5 after structural relaxation from the Alexandria database. Energies are from PBE.

abc: 10.048 10.048 3.382
angles: 90.00 90.00 90.00
Positions (direct):
Er 0.173 0.327 0.000
Er 0.327 0.827 0.000
Er 0.673 0.173 0.000
Er 0.827 0.673 0.000
Al 0.125 0.625 0.000
Al 0.375 0.125 0.000
Al 0.625 0.875 0.000
Al 0.875 0.375 0.000
Sn 0.000 0.000 0.000
Sn 0.500 0.500 0.000
Ru 0.000 0.500 0.500
Ru 0.066 0.795 0.500
Ru 0.205 0.066 0.500
Ru 0.295 0.566 0.500
Ru 0.434 0.295 0.500
Ru 0.500 0.000 0.500
Ru 0.566 0.705 0.500
Ru 0.705 0.434 0.500
Ru 0.795 0.934 0.500
Ru 0.934 0.205 0.500

Values from the calculation:
Space group ... P4/mbm
Volume ... 341.4 Å³/cell
E_form ... -406 meV/atom



6.
Here is Er2TaAl2Ru5 after structural relaxation from the Alexandria database. Energies are from PBE.

abc: 10.091 10.091 3.290
angles: 90.00 90.00 90.00
Positions (direct):
Er 0.172 0.328 0.000
Er 0.328 0.828 0.000
Er 0.672 0.172 0.000
Er 0.828 0.672 0.000
Ta 0.000 0.000 0.000
Ta 0.500 0.500 0.000
Al 0.127 0.627 0.000
Al 0.373 0.127 0.000
Al 0.627 0.873 0.000
Al 0.873 0.373 0.000
Ru 0.000 0.500 0.500
Ru 0.067 0.801 0.500
Ru 0.199 0.067 0.500
Ru 0.301 0.567 0.500
Ru 0.433 0.301 0.500
Ru 0.500 0.000 0.500
Ru 0.567 0.699 0.500
Ru 0.699 0.433 0.500
Ru 0.801 0.933 0.500
Ru 0.933 0.199 0.500

Values from the calculation:
Space group ... P4/mbm
Volume ... 335.0 Å³/cell
E_form ... -490 meV/atom



Number 1: total magnetization 1.99 μB per cell, ρ 9.51 g/cm3. Number 2: total magnetization 0.00 μB per cell, ρ 9.68 g/cm3. Number 3: total magnetization 0.00 μB per cell, ρ 6.88 g/cm3. Number 4: total magnetization 0.00 μB per cell, ρ 8.44 g/cm3. Number 5: total magnetization 1.53 μB per cell, ρ 9.85 g/cm3. Number 6: total magnetization 0.00 μB per cell, ρ 10.65 g/cm3.